# 1
MoRu2F PBE with a Hubbard U relaxed; magnetic moment = 0.00 μB per formula unit; energy = -6.236 eV per atom; symmetry = I-42d (122)
1.0
6.608 0.000 0.000
0.000 6.608 0.000
3.304 3.304 2.617
Mo Ru F
2 4 2
direct
0.000 0.000 0.000
0.750 0.250 0.500
0.875 0.853 0.750
0.603 0.125 0.250
0.147 0.625 0.250
0.375 0.397 0.750
0.500 0.500 0.000
0.250 0.750 0.500



# 2
CaCoO3 PBE with a Hubbard U relaxed; magnetic moment = 3.06 μB per formula unit; energy = -5.935 eV per atom; symmetry = Pm-3m (221)
1.0
3.776 0.000 0.000
0.000 3.776 0.000
0.000 0.000 3.776
O Ca Co
3 1 1
direct
0.500 0.000 0.500
0.000 0.500 0.500
0.500 0.500 0.000
0.000 0.000 0.000
0.500 0.500 0.500